No. 1
Compound: CsTl2Pb5
Source: Alexandria via LeMat-Bulk
Functional: PBE-GGA
Structure: optimized geometry

Values from the calculation:
The value obtained for the total energy is -3.03 eV/atom. For the magnetic moment, the calculation gives 0.00 μB per cell. The value obtained for the energy relative to the elements is -0.01 eV/atom.

a b c (Å): 8.9060 8.9060 3.6764
angles (deg): 101.50 101.50 76.97
Fractional positions:
Cs  0.0000  0.0000  0.0000
Tl  0.2442  0.2442  0.7412
Tl  0.7558  0.7558  0.2588
Pb  0.1554  0.5789  0.3629
Pb  0.4211  0.8446  0.6371
Pb  0.5000  0.5000  0.0000
Pb  0.5789  0.1554  0.3629
Pb  0.8446  0.4211  0.6371



No. 2
Compound: CsTl2Pb2
Source: Alexandria via LeMat-Bulk
Functional: PBE-GGA
Structure: optimized geometry

Values from the calculation:
The value obtained for the total energy is -2.67 eV/atom. For the magnetic moment, the calculation gives 0.00 μB per cell. The value obtained for the energy relative to the elements is -0.07 eV/atom. The calculation puts the offset from the most stable computed form at 18 meV/atom.

a b c (Å): 7.3558 7.3558 7.3558
angles (deg): 135.01 135.01 65.51
Fractional positions:
Cs  0.0000  0.0000  0.0000
Tl  0.2500  0.7500  0.5000
Tl  0.7500  0.2500  0.5000
Pb  0.3750  0.3750  0.0000
Pb  0.6250  0.6250  0.0000



No. 3
Compound: CsTl3Pb3
Source: Alexandria via LeMat-Bulk
Functional: PBE-GGA
Structure: optimized geometry

Values from the calculation:
The value obtained for the total energy is -2.62 eV/atom. For the magnetic moment, the calculation gives 0.00 μB per cell. The value obtained for the energy relative to the elements is 0.11 eV/atom. The calculation puts the offset from the most stable computed form at 135 meV/atom.

a b c (Å): 8.5817 8.5817 8.5817
angles (deg): 90.00 90.00 90.00
Fractional positions:
Cs  0.0000  0.0000  0.0000
Cs  0.5000  0.5000  0.5000
Tl  0.0000  0.2500  0.5000
Tl  0.0000  0.7500  0.5000
Tl  0.2500  0.5000  0.0000
Tl  0.5000  0.0000  0.2500
Tl  0.5000  0.0000  0.7500
Tl  0.7500  0.5000  0.0000
Pb  0.0000  0.5000  0.2500
Pb  0.0000  0.5000  0.7500
Pb  0.2500  0.0000  0.5000
Pb  0.5000  0.2500  0.0000
Pb  0.5000  0.7500  0.0000
Pb  0.7500  0.0000  0.5000



No. 4
Compound: Cs2Tl12Pb5
Source: Alexandria via LeMat-Bulk
Functional: PBE-GGA
Structure: optimized geometry

Values from the calculation:
The value obtained for the total energy is -2.61 eV/atom. For the magnetic moment, the calculation gives 0.00 μB per cell. The value obtained for the energy relative to the elements is -0.05 eV/atom.

a b c (Å): 8.8074 8.8074 8.8074
angles (deg): 82.69 82.69 82.69
Fractional positions:
Cs  0.1614  0.1614  0.1614
Cs  0.8386  0.8386  0.8386
Tl  0.1494  0.1494  0.6544
Tl  0.1494  0.6544  0.1494
Tl  0.2095  0.5000  0.7905
Tl  0.2095  0.7905  0.5000
Tl  0.3456  0.8506  0.8506
Tl  0.5000  0.2095  0.7905
Tl  0.5000  0.7905  0.2095
Tl  0.6544  0.1494  0.1494
Tl  0.7905  0.2095  0.5000
Tl  0.7905  0.5000  0.2095
Tl  0.8506  0.3456  0.8506
Tl  0.8506  0.8506  0.3456
Pb  0.0000  0.5000  0.5000
Pb  0.4033  0.4033  0.4033
Pb  0.5000  0.0000  0.5000
Pb  0.5000  0.5000  0.0000
Pb  0.5967  0.5967  0.5967



No. 5
Compound: Cs2Tl3Pb5
Source: Alexandria via LeMat-Bulk
Functional: PBE-GGA
Structure: optimized geometry

Values from the calculation:
The value obtained for the total energy is -2.83 eV/atom. For the magnetic moment, the calculation gives 0.00 μB per cell. The value obtained for the energy relative to the elements is -0.09 eV/atom.

a b c (Å): 10.9600 10.9600 10.9600
angles (deg): 97.69 95.11 140.98
Fractional positions:
Cs  0.1265  0.2443  0.3708
Cs  0.3735  0.7443  0.1179
Cs  0.6265  0.2557  0.8821
Cs  0.8735  0.7557  0.6292
Tl  0.1173  0.6421  0.7593
Tl  0.2500  0.2500  0.0000
Tl  0.3827  0.1421  0.5248
Tl  0.6173  0.8579  0.4752
Tl  0.7500  0.7500  0.0000
Tl  0.8827  0.3579  0.2407
Pb  0.0084  0.7500  0.2584
Pb  0.1290  0.8737  0.0027
Pb  0.2500  0.7500  0.5000
Pb  0.3710  0.3737  0.7447
Pb  0.4916  0.7500  0.7416
Pb  0.5084  0.2500  0.2584
Pb  0.6290  0.6263  0.2553
Pb  0.7500  0.2500  0.5000
Pb  0.8710  0.1263  0.9973
Pb  0.9916  0.2500  0.7416



No. 6
Compound: Cs2Tl3Pb2
Source: Alexandria via LeMat-Bulk
Functional: PBE-GGA
Structure: optimized geometry

Values from the calculation:
The value obtained for the total energy is -2.40 eV/atom. For the magnetic moment, the calculation gives 0.00 μB per cell. The value obtained for the energy relative to the elements is -0.08 eV/atom. The calculation puts the offset from the most stable computed form at 0 meV/atom.

a b c (Å): 7.6196 7.6196 8.6607
angles (deg): 118.37 118.37 40.28
Fractional positions:
Cs  0.1528  0.1528  0.2869
Cs  0.8472  0.8472  0.7131
Tl  0.4060  0.4060  0.0694
Tl  0.5000  0.5000  0.5000
Tl  0.5940  0.5940  0.9306
Pb  0.1501  0.1501  0.7741
Pb  0.8499  0.8499  0.2259



What is the formula in the fifth record?
Cs2Tl3Pb5